First-principles (SCAN) data for a crystal of TaCdPt2 relaxed with PBEsol, as listed in Alexandria.

a = 3.9609 Å, b = 4.0691 Å, c = 4.0691 Å
α = 90.00°, β = 90.00°, γ = 90.00°
Fractional positions:
Pt (0.0000, 0.0000, 0.5000)
Pt (0.0000, 0.5000, 0.0000)
Ta (0.5000, 0.5000, 0.5000)
Cd (0.5000, 0.0000, 0.0000)

Calculated values
**Size of the total moment**: 0.00 μB per cell
**E_form**: -223 meV/atom
**N(E_F)**: 2.49 states/eV/cell